VASP calculation (PBE-GGA) on a geometry-optimized Cs4RbAs4 structure.

```
Cs4RbAs4
1.0
10.954 0.000 0.000
0.000 10.954 0.000
0.000 0.000 7.260
Cs Rb As
8 2 8
direct
0.057 0.669 0.093 Cs
0.169 0.943 0.593 Cs
0.331 0.557 0.593 Cs
0.443 0.831 0.093 Cs
0.557 0.169 0.907 Cs
0.669 0.443 0.407 Cs
0.831 0.057 0.407 Cs
0.943 0.331 0.907 Cs
0.250 0.250 0.250 Rb
0.750 0.750 0.750 Rb
0.003 0.406 0.421 As
0.094 0.003 0.079 As
0.406 0.497 0.079 As
0.497 0.094 0.421 As
0.503 0.906 0.579 As
0.594 0.503 0.921 As
0.906 0.997 0.921 As
0.997 0.594 0.579 As
```

Output
Energy of formation = -0.323 eV/atom
Crystal system = tetragonal
Total magnetization = 6.2 μB per cell

***

VASP calculation (PBE-GGA) on a geometry-optimized Cs5Rb4As structure.

```
Cs5Rb4As
1.0
-7.851 7.851 3.664
7.851 -7.851 3.664
7.851 7.851 -3.664
Cs Rb As
5 4 1
direct
0.000 0.000 0.000 Cs
0.344 0.344 0.688 Cs
0.344 0.656 0.000 Cs
0.656 0.344 0.000 Cs
0.656 0.656 0.312 Cs
0.000 0.345 0.345 Rb
0.000 0.655 0.655 Rb
0.345 0.000 0.345 Rb
0.655 0.000 0.655 Rb
0.500 0.500 0.000 As
```

Output
Energy of formation = -0.089 eV/atom
Crystal system = tetragonal
Total magnetization = 0.0 μB per cell

***

VASP calculation (PBE-GGA) on a geometry-optimized CsRbAs3 structure.

```
CsRbAs3
1.0
5.978 0.000 0.000
0.000 5.978 0.000
0.000 0.000 5.978
Cs Rb As
1 1 3
direct
0.000 0.000 0.000 Cs
0.500 0.500 0.500 Rb
0.000 0.000 0.500 As
0.000 0.500 0.000 As
0.500 0.000 0.000 As
```

Output
Energy of formation = 1.066 eV/atom
Distance to the lowest polymorph of the same formula = 5.9 kJ/mol of atoms
Crystal system = cubic
Total magnetization = 0.0 μB per cell

***

VASP calculation (PBE-GGA) on a geometry-optimized Cs4Rb2As structure.

```
Cs4Rb2As
1.0
-3.543 3.543 13.730
3.543 -3.543 13.730
3.543 3.543 -13.730
Cs Rb As
4 2 1
direct
0.000 0.500 0.500 Cs
0.125 0.125 0.000 Cs
0.500 0.000 0.500 Cs
0.875 0.875 0.000 Cs
0.300 0.300 0.000 Rb
0.700 0.700 0.000 Rb
0.000 0.000 0.000 As
```

Output
Energy of formation = -0.081 eV/atom
Distance to the lowest polymorph of the same formula = 4.5 kJ/mol of atoms
Crystal system = tetragonal
Total magnetization = 0.0 μB per cell

***

VASP calculation (PBE-GGA) on a geometry-optimized Cs9Rb6As structure.

```
Cs9Rb6As
1.0
-5.930 5.930 11.065
5.930 -5.930 11.065
5.930 5.930 -11.065
Cs Rb As
9 6 1
direct
0.000 0.000 0.000 Cs
0.057 0.464 0.197 Cs
0.139 0.943 0.407 Cs
0.268 0.861 0.803 Cs
0.464 0.268 0.407 Cs
0.536 0.732 0.593 Cs
0.732 0.139 0.197 Cs
0.861 0.057 0.593 Cs
0.943 0.536 0.803 Cs
0.227 0.415 0.642 Rb
0.347 0.347 0.000 Rb
0.415 0.773 0.187 Rb
0.585 0.227 0.813 Rb
0.653 0.653 0.000 Rb
0.773 0.585 0.358 Rb
0.500 0.500 0.000 As
```

Output
Energy of formation = -0.050 eV/atom
Crystal system = tetragonal
Total magnetization = 0.0 μB per cell

***

VASP calculation (PBE-GGA) on a geometry-optimized CsRb6As3 structure.

```
CsRb6As3
1.0
10.704 0.000 0.000
0.000 5.514 0.000
-2.568 0.000 16.085
Cs Rb As
2 12 6
direct
0.103 0.250 0.331 Cs
0.897 0.750 0.669 Cs
0.043 0.250 0.926 Rb
0.282 0.750 0.776 Rb
0.301 0.250 0.598 Rb
0.361 0.750 0.450 Rb
0.363 0.750 0.208 Rb
0.407 0.250 0.045 Rb
0.593 0.750 0.955 Rb
0.637 0.250 0.792 Rb
0.639 0.250 0.550 Rb
0.699 0.750 0.402 Rb
0.718 0.250 0.224 Rb
0.957 0.750 0.074 Rb
0.023 0.750 0.479 As
0.240 0.750 0.978 As
0.465 0.250 0.338 As
0.535 0.750 0.662 As
0.760 0.250 0.022 As
0.977 0.250 0.521 As
```

Output
Energy of formation = -0.214 eV/atom
Crystal system = monoclinic
Total magnetization = 0.8 μB per cell